No. 1
Density functional theory data (PBE-GGA) for CaNpGe2O8 after structural relaxation.

Cell and atoms, written as CIF:
```
data_CaNpGe2O8
_cell_length_a 7.052
_cell_length_b 7.052
_cell_length_c 6.410
_cell_angle_alpha 90.00
_cell_angle_beta 90.00
_cell_angle_gamma 90.00
_space_group_name_H-M_alt 'I -4 m 2'
_space_group_IT_number 119
_space_group_name_Hall 'I -4 -2'
loop_
_atom_site_label
_atom_site_fract_x
_atom_site_fract_y
_atom_site_fract_z
_atom_site_occupancy
Ca1 0.000 0.000 0.000 1
Np1 0.000 0.500 0.250 1
Ge1 0.000 0.000 0.500 1
Ge2 0.000 0.500 0.750 1
O1 0.000 0.197 0.327 1
O2 0.000 0.322 0.945 1
```

Calculated values
calculated volume: 13.28 Å³ per atom
D(E_F): 13.61 states/eV/cell
energy relative to the elements, uncorrected: -2.14 eV per atom
total moment: 1.00 μB per formula unit

No. 2
Density functional theory data (PBE-GGA) for Ca2GeO4 after structural relaxation.

Cell and atoms, written as CIF:
```
data_Ca2GeO4
_cell_length_a 6.382
_cell_length_b 10.240
_cell_length_c 12.340
_cell_angle_alpha 90.00
_cell_angle_beta 90.00
_cell_angle_gamma 90.00
_space_group_name_H-M_alt 'F d d d'
_space_group_IT_number 70
loop_
_space_group_symop_operation_xyz
'x,y,z'
'-x,-y,-z'
'-x+1/4,-y+1/4,z'
'x+1/4,y+1/4,-z'
'x,-y+1/4,-z+1/4'
'-x,y+1/4,z+1/4'
'-x+1/4,y,-z+1/4'
'x+1/4,-y,z+1/4'
'x,y+1/2,z+1/2'
'-x,-y+1/2,-z+1/2'
'-x+1/4,-y+3/4,z+1/2'
'x+1/4,y+3/4,-z+1/2'
'x,-y+3/4,-z+3/4'
'-x,y+3/4,z+3/4'
'-x+1/4,y+1/2,-z+3/4'
'x+1/4,-y+1/2,z+3/4'
'x+1/2,y,z+1/2'
'-x+1/2,-y,-z+1/2'
'-x+3/4,-y+1/4,z+1/2'
'x+3/4,y+1/4,-z+1/2'
'x+1/2,-y+1/4,-z+3/4'
'-x+1/2,y+1/4,z+3/4'
'-x+3/4,y,-z+3/4'
'x+3/4,-y,z+3/4'
'x+1/2,y+1/2,z'
'-x+1/2,-y+1/2,-z'
'-x+3/4,-y+3/4,z'
'x+3/4,y+3/4,-z'
'x+1/2,-y+3/4,-z+1/4'
'-x+1/2,y+3/4,z+1/4'
'-x+3/4,y+1/2,-z+1/4'
'x+3/4,-y+1/2,z+1/4'
loop_
_atom_site_label
_atom_site_fract_x
_atom_site_fract_y
_atom_site_fract_z
_atom_site_occupancy
Ca1 0.125 0.314 0.125 1
Ge1 0.125 0.125 0.625 1
O1 0.037 0.263 0.947 1
```

Calculated values
calculated volume: 14.40 Å³ per atom
D(E_F): 0.00 states/eV/cell
energy relative to the elements, uncorrected: -2.56 eV per atom
total moment: 0.00 μB per formula unit

No. 3
Density functional theory data (PBE-GGA) for CaGeO3 after structural relaxation.

Cell and atoms, written as CIF:
```
data_CaGeO3
_cell_length_a 5.2190
_cell_length_b 5.2190
_cell_length_c 15.3017
_cell_angle_alpha 90.00
_cell_angle_beta 90.00
_cell_angle_gamma 120.00
_space_group_name_H-M_alt 'R -3'
_space_group_IT_number 148
_space_group_name_Hall '-R 3'
loop_
_atom_site_label
_atom_site_fract_x
_atom_site_fract_y
_atom_site_fract_z
_atom_site_occupancy
Ca1 0.0000 0.0000 0.1345 1
Ge1 0.0000 0.0000 0.3412 1
O1 0.0105 0.6127 0.9282 1
```

Calculated values
calculated volume: 12.03 Å³ per atom
D(E_F): 0.00 states/eV/cell
energy relative to the elements, uncorrected: -2.24 eV per atom
total moment: 0.00 μB per formula unit

No. 4
Density functional theory data (PBE-GGA) for Ca2Ge7O16 after structural relaxation.

Cell and atoms, written as CIF:
```
data_Ca2Ge7O16
_cell_length_a 11.509
_cell_length_b 11.509
_cell_length_c 4.712
_cell_angle_alpha 90.00
_cell_angle_beta 90.00
_cell_angle_gamma 90.00
_space_group_name_H-M_alt 'P -4 b 2'
_space_group_IT_number 117
loop_
_space_group_symop_operation_xyz
'x,y,z'
'y,-x,-z'
'-x,-y,z'
'-y,x,-z'
'-x+1/2,y+1/2,z'
'-y+1/2,-x+1/2,-z'
'x+1/2,-y+1/2,z'
'y+1/2,x+1/2,-z'
loop_
_atom_site_label
_atom_site_fract_x
_atom_site_fract_y
_atom_site_fract_z
_atom_site_occupancy
Ca1 0.165 0.335 0.000 1
Ge1 0.000 0.500 0.500 1
Ge2 0.066 0.813 0.510 1
Ge3 0.134 0.634 0.000 1
O1 0.000 0.383 0.748 1
O2 0.028 0.720 0.224 1
O3 0.068 0.140 0.662 1
O4 0.170 0.766 0.769 1
```

Calculated values
calculated volume: 12.48 Å³ per atom
D(E_F): 0.00 states/eV/cell
energy relative to the elements, uncorrected: -1.93 eV per atom
total moment: 0.00 μB per formula unit

No. 5
Density functional theory data (PBE-GGA) for CaGeO3 after structural relaxation.

Cell and atoms, written as CIF:
```
data_CaGeO3
_cell_length_a 7.383
_cell_length_b 7.635
_cell_length_c 8.246
_cell_angle_alpha 103.53
_cell_angle_beta 95.16
_cell_angle_gamma 90.15
_space_group_name_H-M_alt 'P -1'
_space_group_IT_number 2
loop_
_space_group_symop_operation_xyz
'x,y,z'
'-x,-y,-z'
loop_
_atom_site_label
_atom_site_fract_x
_atom_site_fract_y
_atom_site_fract_z
_atom_site_occupancy
Ca1 0.032 0.254 0.010 1
Ca2 0.258 0.927 0.706 1
Ca3 0.261 0.428 0.710 1
Ge1 0.222 0.555 0.323 1
Ge2 0.224 0.108 0.319 1
Ge3 0.445 0.775 0.098 1
O1 0.025 0.574 0.193 1
O2 0.026 0.024 0.188 1
O3 0.226 0.129 0.532 1
O4 0.229 0.636 0.539 1
O5 0.257 0.319 0.267 1
O6 0.287 0.727 0.922 1
O7 0.318 0.227 0.900 1
O8 0.420 0.629 0.241 1
O9 0.422 0.998 0.231 1
```

Calculated values
calculated volume: 15.00 Å³ per atom
D(E_F): 0.00 states/eV/cell
energy relative to the elements, uncorrected: -2.33 eV per atom
total moment: 0.02 μB per formula unit

No. 6
Density functional theory data (PBE-GGA) for Ca6Ge2O after structural relaxation.

Cell and atoms, written as CIF:
```
data_Ca6Ge2O
_cell_length_a 6.816
_cell_length_b 6.982
_cell_length_c 11.849
_cell_angle_alpha 90.00
_cell_angle_beta 125.02
_cell_angle_gamma 90.00
_space_group_name_H-M_alt 'P 1 21/c 1'
_space_group_IT_number 14
loop_
_space_group_symop_operation_xyz
'x,y,z'
'-x,-y,-z'
'-x,y+1/2,-z+1/2'
'x,-y+1/2,z+1/2'
loop_
_atom_site_label
_atom_site_fract_x
_atom_site_fract_y
_atom_site_fract_z
_atom_site_occupancy
Ca1 0.172 0.015 0.245 1
Ca2 0.238 0.714 0.038 1
Ca3 0.325 0.201 0.039 1
Ge1 0.262 0.047 0.750 1
O1 0.000 0.000 0.000 1
```

Calculated values
calculated volume: 25.65 Å³ per atom
D(E_F): 0.15 states/eV/cell
energy relative to the elements, uncorrected: -1.02 eV per atom
total moment: 0.00 μB per formula unit

No. 7
Density functional theory data (PBE-GGA) for CaGeO3 after structural relaxation.

Cell and atoms, written as CIF:
```
data_CaGeO3
_cell_length_a 3.746
_cell_length_b 3.746
_cell_length_c 3.746
_cell_angle_alpha 90.00
_cell_angle_beta 90.00
_cell_angle_gamma 90.00
_space_group_name_H-M_alt 'P m -3 m'
_space_group_IT_number 221
_space_group_name_Hall '-P 4 2 3'
loop_
_atom_site_label
_atom_site_fract_x
_atom_site_fract_y
_atom_site_fract_z
_atom_site_occupancy
Ca1 0.000 0.000 0.000 1
Ge1 0.500 0.500 0.500 1
O1 0.000 0.500 0.500 1
```

Calculated values
calculated volume: 10.51 Å³ per atom
D(E_F): 0.00 states/eV/cell
energy relative to the elements, uncorrected: -2.16 eV per atom
total moment: 0.00 μB per formula unit

No. 8
Density functional theory data (PBE-GGA) for CaGeO3 after structural relaxation.

Cell and atoms, written as CIF:
```
data_CaGeO3
_cell_length_a 5.373
_cell_length_b 7.552
_cell_length_c 5.329
_cell_angle_alpha 90.00
_cell_angle_beta 90.00
_cell_angle_gamma 90.00
_space_group_name_H-M_alt 'P n m a'
_space_group_IT_number 62
loop_
_space_group_symop_operation_xyz
'x,y,z'
'-x,-y,-z'
'-x+1/2,-y,z+1/2'
'x+1/2,y,-z+1/2'
'x+1/2,-y+1/2,-z+1/2'
'-x+1/2,y+1/2,z+1/2'
'-x,y+1/2,-z'
'x,-y+1/2,z'
loop_
_atom_site_label
_atom_site_fract_x
_atom_site_fract_y
_atom_site_fract_z
_atom_site_occupancy
Ca1 0.040 0.250 0.008 1
Ge1 0.000 0.000 0.500 1
O1 0.016 0.750 0.426 1
O2 0.212 0.538 0.790 1
```

Calculated values
calculated volume: 10.81 Å³ per atom
D(E_F): 0.00 states/eV/cell
energy relative to the elements, uncorrected: -2.22 eV per atom
total moment: 0.00 μB per formula unit

No. 9
Density functional theory data (PBE-GGA) for CaGeO3 after structural relaxation.

Cell and atoms, written as CIF:
```
data_CaGeO3
_cell_length_a 6.913
_cell_length_b 6.962
_cell_length_c 9.510
_cell_angle_alpha 85.37
_cell_angle_beta 70.51
_cell_angle_gamma 77.55
_space_group_name_H-M_alt 'P -1'
_space_group_IT_number 2
loop_
_space_group_symop_operation_xyz
'x,y,z'
'-x,-y,-z'
loop_
_atom_site_label
_atom_site_fract_x
_atom_site_fract_y
_atom_site_fract_z
_atom_site_occupancy
Ca1 0.066 0.431 0.168 1
Ca2 0.242 0.280 0.490 1
Ca3 0.282 0.885 0.870 1
Ge1 0.150 0.908 0.219 1
Ge2 0.278 0.776 0.498 1
Ge3 0.479 0.441 0.809 1
O1 0.025 0.250 0.736 1
O2 0.089 0.098 0.100 1
O3 0.095 0.626 0.566 1
O4 0.200 0.980 0.380 1
O5 0.224 0.543 0.917 1
O6 0.365 0.879 0.619 1
O7 0.375 0.374 0.227 1
O8 0.410 0.779 0.104 1
O9 0.480 0.357 0.633 1
```

Calculated values
calculated volume: 14.04 Å³ per atom
D(E_F): 0.00 states/eV/cell
energy relative to the elements, uncorrected: -2.31 eV per atom
total moment: 0.00 μB per formula unit